Entry 1:
PBE Pa6NbN12, optimized geometry; E_tot = -10.325 eV per atom; formation energy without anion corrections = -1.538 eV/atom; symmetry = R-3 (148); spin magnetization = 0.00 Bohr magnetons per cell
1.0
4.9828 2.8768 3.1573
-4.9828 2.8768 3.1573
0.0000 -5.7536 3.1573
Pa Nb N
6 1 12
Cartesian
-3.4425 -1.0876 4.8278
-0.7793 -3.5251 4.6442
-2.6632 2.4375 4.6442
2.6632 -2.4375 4.8278
0.7793 3.5251 4.8278
3.4425 1.0876 4.6442
0.0000 0.0000 4.7360
-4.1951 0.9212 4.0860
-2.8953 -3.1725 5.3860
-1.2278 -1.4232 3.7244
1.2998 -4.0937 4.0860
-0.6186 1.7749 3.7244
-1.8464 0.3517 5.7476
1.8464 -0.3517 3.7244
0.6186 -1.7749 5.7476
-1.2998 4.0937 5.3860
1.2278 1.4232 5.7477
2.8953 3.1725 4.0860
4.1951 -0.9212 5.3860

Entry 2:
PBE YNb2AsOs, optimized geometry; E_tot = -7.900 eV per atom; symmetry = P4/mmm (123); spin magnetization = 0.00 Bohr magnetons per cell; energy relative to the elements = 596 meV per atom
1.0
4.8088 0.0000 0.0000
0.0000 4.8088 0.0000
0.0000 0.0000 5.4484
Y Nb As Os
1 2 1 1
Cartesian
0.0000 0.0000 0.0000
0.0000 2.4044 2.7242
2.4044 0.0000 2.7242
2.4044 2.4044 0.0000
0.0000 0.0000 2.7242